1.
# Nd12Bi3I5 (PBE, relaxed)
# * crystal system: cubic
# * magnetic moment: 0.000 μB per atom
# * energy relative to the elements, uncorrected: -315.1 meV/atom
# * total energy: -4.15 eV per atom
data_Nd12Bi3I5
_chemical_formula_sum 'Nd48 Bi12 I20'
_cell_length_a 15.9783
_cell_length_b 15.9783
_cell_length_c 15.9783
_cell_angle_alpha 109.47
_cell_angle_beta 109.47
_cell_angle_gamma 109.47
_space_group_name_H-M_alt 'P 1'
_space_group_IT_number 1
_space_group_name_Hall 'P 1'
loop_
_atom_site_label
_atom_site_fract_x
_atom_site_fract_y
_atom_site_fract_z
Nd1 0.0574 0.2227 0.1302
Nd2 0.0574 0.3346 0.9272
Nd3 0.0728 0.6302 0.4074
Nd4 0.0728 0.9426 0.6654
Nd5 0.0926 0.7227 0.6654
Nd6 0.0926 0.8698 0.4272
Nd7 0.1302 0.0574 0.2227
Nd8 0.1302 0.5728 0.9074
Nd9 0.1654 0.2227 0.5926
Nd10 0.1654 0.4426 0.5728
Nd11 0.2227 0.1302 0.0574
Nd12 0.2227 0.5926 0.1654
Nd13 0.2773 0.3346 0.9074
Nd14 0.2773 0.4426 0.3698
Nd15 0.3346 0.9074 0.2773
Nd16 0.3346 0.9272 0.0574
Nd17 0.3698 0.2773 0.4426
Nd18 0.3698 0.5926 0.9272
Nd19 0.4074 0.0728 0.6302
Nd20 0.4074 0.8346 0.7773
Nd21 0.4272 0.0926 0.8698
Nd22 0.4272 0.8346 0.5574
Nd23 0.4426 0.3698 0.2773
Nd24 0.4426 0.5728 0.1654
Nd25 0.5574 0.4272 0.8346
Nd26 0.5574 0.6302 0.7227
Nd27 0.5728 0.1654 0.4426
Nd28 0.5728 0.9074 0.1302
Nd29 0.5926 0.1654 0.2227
Nd30 0.5926 0.9272 0.3698
Nd31 0.6302 0.4074 0.0728
Nd32 0.6302 0.7227 0.5574
Nd33 0.6654 0.0728 0.9426
Nd34 0.6654 0.0926 0.7227
Nd35 0.7227 0.5574 0.6302
Nd36 0.7227 0.6654 0.0926
Nd37 0.7773 0.4074 0.8346
Nd38 0.7773 0.8698 0.9426
Nd39 0.8346 0.5574 0.4272
Nd40 0.8346 0.7773 0.4074
Nd41 0.8698 0.4272 0.0926
Nd42 0.8698 0.9426 0.7773
Nd43 0.9074 0.1302 0.5728
Nd44 0.9074 0.2773 0.3346
Nd45 0.9272 0.0574 0.3346
Nd46 0.9272 0.3698 0.5926
Nd47 0.9426 0.6654 0.0728
Nd48 0.9426 0.7773 0.8698
Bi1 0.1250 0.2500 0.3750
Bi2 0.1250 0.3750 0.7500
Bi3 0.2500 0.3750 0.1250
Bi4 0.2500 0.8750 0.6250
Bi5 0.3750 0.1250 0.2500
Bi6 0.3750 0.7500 0.1250
Bi7 0.6250 0.2500 0.8750
Bi8 0.6250 0.8750 0.7500
Bi9 0.7500 0.1250 0.3750
Bi10 0.7500 0.6250 0.8750
Bi11 0.8750 0.6250 0.2500
Bi12 0.8750 0.7500 0.6250
I1 0.0000 0.0000 0.0000
I2 0.0000 0.0000 0.5000
I3 0.0000 0.5000 0.0000
I4 0.0000 0.5000 0.5000
I5 0.1250 0.7500 0.8750
I6 0.1250 0.8750 0.2500
I7 0.2500 0.1250 0.8750
I8 0.2500 0.6250 0.3750
I9 0.3750 0.2500 0.6250
I10 0.3750 0.6250 0.7500
I11 0.5000 0.0000 0.0000
I12 0.5000 0.0000 0.5000
I13 0.5000 0.5000 0.0000
I14 0.5000 0.5000 0.5000
I15 0.6250 0.3750 0.2500
I16 0.6250 0.7500 0.3750
I17 0.7500 0.3750 0.6250
I18 0.7500 0.8750 0.1250
I19 0.8750 0.1250 0.7500
I20 0.8750 0.2500 0.1250



2.
# Nd4Bi2I3 (PBE, relaxed)
# * crystal system: monoclinic
# * magnetic moment: 0.000 μB per atom
# * energy relative to the elements, uncorrected: -1054.5 meV/atom
# * total energy: -4.55 eV per atom
data_Nd4Bi2I3
_chemical_formula_sum 'Nd4 Bi2 I3'
_cell_length_a 4.5725
_cell_length_b 4.5725
_cell_length_c 19.0350
_cell_angle_alpha 90.04
_cell_angle_beta 90.04
_cell_angle_gamma 60.00
_space_group_name_H-M_alt 'P 1'
_space_group_IT_number 1
_space_group_name_Hall 'P 1'
loop_
_atom_site_label
_atom_site_fract_x
_atom_site_fract_y
_atom_site_fract_z
Nd1 0.9995 0.9995 0.2078
Nd2 0.0005 0.0005 0.7922
Nd3 0.3335 0.3335 0.6083
Nd4 0.6665 0.6665 0.3917
Bi1 0.3330 0.3330 0.3008
Bi2 0.6670 0.6670 0.6992
I1 0.0000 0.0000 0.5000
I2 0.3340 0.3340 0.8948
I3 0.6660 0.6660 0.1052



3.
# Nd2BiI (PBE, relaxed)
# * crystal system: trigonal
# * magnetic moment: 0.000 μB per atom
# * energy relative to the elements, uncorrected: -877.3 meV/atom
# * polymorph energy (0 for the lowest one): 14 meV/atom
# * total energy: -4.62 eV per atom
data_Nd2BiI
_chemical_formula_sum 'Nd2 Bi1 I1'
_cell_length_a 7.7826
_cell_length_b 7.7826
_cell_length_c 7.7826
_cell_angle_alpha 34.97
_cell_angle_beta 34.97
_cell_angle_gamma 34.97
_space_group_name_H-M_alt 'P 1'
_space_group_IT_number 1
_space_group_name_Hall 'P 1'
loop_
_atom_site_label
_atom_site_fract_x
_atom_site_fract_y
_atom_site_fract_z
Nd1 0.2415 0.2415 0.2415
Nd2 0.7585 0.7585 0.7585
Bi1 0.5000 0.5000 0.5000
I1 0.0000 0.0000 0.0000



4.
# Nd6BiI8 (PBE, relaxed)
# * crystal system: trigonal
# * magnetic moment: 0.000 μB per atom
# * energy relative to the elements, uncorrected: -1118.6 meV/atom
# * total energy: -4.11 eV per atom
data_Nd6BiI8
_chemical_formula_sum 'Nd6 Bi1 I8'
_cell_length_a 12.3735
_cell_length_b 12.3735
_cell_length_c 12.3735
_cell_angle_alpha 36.72
_cell_angle_beta 36.72
_cell_angle_gamma 36.72
_space_group_name_H-M_alt 'P 1'
_space_group_IT_number 1
_space_group_name_Hall 'P 1'
loop_
_atom_site_label
_atom_site_fract_x
_atom_site_fract_y
_atom_site_fract_z
Nd1 0.1120 0.4498 0.7881
Nd2 0.2119 0.8880 0.5502
Nd3 0.4498 0.7881 0.1120
Nd4 0.5502 0.2119 0.8880
Nd5 0.7881 0.1120 0.4498
Nd6 0.8880 0.5502 0.2119
Bi1 0.5000 0.5000 0.5000
I1 0.0640 0.7216 0.3929
I2 0.1667 0.1667 0.1667
I3 0.2784 0.6071 0.9360
I4 0.3929 0.0640 0.7216
I5 0.6071 0.9360 0.2784
I6 0.7216 0.3929 0.0640
I7 0.8333 0.8333 0.8333
I8 0.9360 0.2784 0.6071



5.
# Nd2BiI3 (PBE, relaxed)
# * crystal system: monoclinic
# * magnetic moment: 0.000 μB per atom
# * energy relative to the elements, uncorrected: -1137.6 meV/atom
# * total energy: -4.15 eV per atom
data_Nd2BiI3
_chemical_formula_sum 'Nd4 Bi2 I6'
_cell_length_a 9.8855
_cell_length_b 9.8855
_cell_length_c 14.2916
_cell_angle_alpha 124.16
_cell_angle_beta 124.16
_cell_angle_gamma 27.62
_space_group_name_H-M_alt 'P 1'
_space_group_IT_number 1
_space_group_name_Hall 'P 1'
loop_
_atom_site_label
_atom_site_fract_x
_atom_site_fract_y
_atom_site_fract_z
Nd1 0.1061 0.1061 0.4466
Nd2 0.3645 0.3645 0.1686
Nd3 0.6355 0.6355 0.8314
Nd4 0.8939 0.8939 0.5534
Bi1 0.0959 0.0959 0.6636
Bi2 0.9041 0.9041 0.3364
I1 0.1597 0.1597 0.0159
I2 0.2617 0.2617 0.3962
I3 0.4427 0.4427 0.7449
I4 0.5573 0.5573 0.2551
I5 0.7383 0.7383 0.6038
I6 0.8403 0.8403 0.9841



6.
# Nd3Bi2I2 (PBE, relaxed)
# * crystal system: triclinic
# * magnetic moment: 0.000 μB per atom
# * energy relative to the elements, uncorrected: -824.0 meV/atom
# * total energy: -4.42 eV per atom
data_Nd3Bi2I2
_chemical_formula_sum 'Nd3 Bi2 I2'
_cell_length_a 4.6008
_cell_length_b 7.8295
_cell_length_c 7.8639
_cell_angle_alpha 78.82
_cell_angle_beta 89.96
_cell_angle_gamma 72.98
_space_group_name_H-M_alt 'P 1'
_space_group_IT_number 1
_space_group_name_Hall 'P 1'
loop_
_atom_site_label
_atom_site_fract_x
_atom_site_fract_y
_atom_site_fract_z
Nd1 0.0000 0.0000 0.0000
Nd2 0.2617 0.4774 0.7300
Nd3 0.7383 0.5226 0.2700
Bi1 0.1134 0.7724 0.3812
Bi2 0.8866 0.2276 0.6188
I1 0.3759 0.2478 0.1367
I2 0.6241 0.7522 0.8633